Entry 1:
Here is a relaxed structure of Tb2HfPaAs4 from Alexandria. Energies are from GGA-PBE.

Structure (CIF):
```
data_Tb2HfPaAs4
_symmetry_space_group_name_H-M 'P 1'
_symmetry_Int_Tables_number 1
_cell_length_a 6.967
_cell_length_b 4.045
_cell_length_c 7.037
_cell_angle_alpha 90.00
_cell_angle_beta 109.30
_cell_angle_gamma 90.00
loop_
_symmetry_equiv_pos_as_xyz
'x,y,z'
loop_
_atom_site_label
_atom_site_type_symbol
_atom_site_fract_x
_atom_site_fract_y
_atom_site_fract_z
_atom_site_occupancy
Tb1 Tb 0.000 0.000 0.000 1
Tb2 Tb 0.500 0.500 0.000 1
Hf1 Hf 0.000 0.500 0.500 1
Pa1 Pa 0.500 0.000 0.500 1
As1 As 0.238 0.000 0.735 1
As2 As 0.244 0.500 0.258 1
As3 As 0.756 0.500 0.742 1
As4 As 0.762 0.000 0.265 1
```

Calculated values
**Fermi-level density of states**: 5.5 states/eV/f.u.
**Symmetry**: No. 10
**Formation energy**: -1.26 eV per atom

Entry 2:
Here is a relaxed structure of LaSmAg2Ge2 from Alexandria. Energies are from GGA-PBE.

Structure (CIF):
```
data_LaSmAg2Ge2
_symmetry_space_group_name_H-M 'P 1'
_symmetry_Int_Tables_number 1
_cell_length_a 4.551
_cell_length_b 4.551
_cell_length_c 7.822
_cell_angle_alpha 90.00
_cell_angle_beta 90.00
_cell_angle_gamma 120.00
loop_
_symmetry_equiv_pos_as_xyz
'x,y,z'
loop_
_atom_site_label
_atom_site_type_symbol
_atom_site_fract_x
_atom_site_fract_y
_atom_site_fract_z
_atom_site_occupancy
La1 La 0.000 0.000 0.000 1
Sm1 Sm 0.000 0.000 0.500 1
Ag1 Ag 0.333 0.667 0.730 1
Ag2 Ag 0.667 0.333 0.270 1
Ge1 Ge 0.333 0.667 0.254 1
Ge2 Ge 0.667 0.333 0.746 1
```

Calculated values
**Fermi-level density of states**: 1.0 states/eV/f.u.
**Symmetry**: No. 164
**Formation energy**: -0.62 eV per atom

Entry 3:
Here is a relaxed structure of Pr7In6Ni5Ge3 from Alexandria. Energies are from GGA-PBE.

Structure (CIF):
```
data_Pr7In6Ni5Ge3
_symmetry_space_group_name_H-M 'P 1'
_symmetry_Int_Tables_number 1
_cell_length_a 11.505
_cell_length_b 11.505
_cell_length_c 4.189
_cell_angle_alpha 90.00
_cell_angle_beta 90.00
_cell_angle_gamma 120.00
loop_
_symmetry_equiv_pos_as_xyz
'x,y,z'
loop_
_atom_site_label
_atom_site_type_symbol
_atom_site_fract_x
_atom_site_fract_y
_atom_site_fract_z
_atom_site_occupancy
Pr1 Pr 0.000 0.000 0.000 1
Pr2 Pr 0.075 0.696 0.000 1
Pr3 Pr 0.304 0.379 0.000 1
Pr4 Pr 0.379 0.084 0.000 1
Pr5 Pr 0.621 0.925 0.000 1
Pr6 Pr 0.706 0.621 0.000 1
Pr7 Pr 0.916 0.294 0.000 1
In1 In 0.164 0.519 0.500 1
In2 In 0.356 0.836 0.500 1
In3 In 0.481 0.644 0.500 1
In4 In 0.515 0.349 0.500 1
In5 In 0.651 0.166 0.500 1
In6 In 0.834 0.485 0.500 1
Ni1 Ni 0.247 0.164 0.500 1
Ni2 Ni 0.333 0.667 0.000 1
Ni3 Ni 0.667 0.333 0.000 1
Ni4 Ni 0.836 0.083 0.500 1
Ni5 Ni 0.917 0.753 0.500 1
Ge1 Ge 0.078 0.231 0.500 1
Ge2 Ge 0.153 0.922 0.500 1
Ge3 Ge 0.769 0.847 0.500 1
```

Calculated values
**Fermi-level density of states**: 11.3 states/eV/f.u.
**Symmetry**: No. 174
**Formation energy**: -0.59 eV per atom

Entry 4:
Here is a relaxed structure of YMgFeC from Alexandria. Energies are from GGA-PBE.

Structure (CIF):
```
data_YMgFeC
_symmetry_space_group_name_H-M 'P 1'
_symmetry_Int_Tables_number 1
_cell_length_a 3.593
_cell_length_b 3.593
_cell_length_c 10.342
_cell_angle_alpha 90.00
_cell_angle_beta 90.00
_cell_angle_gamma 90.00
loop_
_symmetry_equiv_pos_as_xyz
'x,y,z'
loop_
_atom_site_label
_atom_site_type_symbol
_atom_site_fract_x
_atom_site_fract_y
_atom_site_fract_z
_atom_site_occupancy
Y1 Y 0.250 0.250 0.211 1
Y2 Y 0.750 0.750 0.789 1
Mg1 Mg 0.250 0.750 0.500 1
Mg2 Mg 0.750 0.250 0.500 1
Fe1 Fe 0.250 0.750 0.000 1
Fe2 Fe 0.750 0.250 0.000 1
C1 C 0.250 0.250 0.916 1
C2 C 0.750 0.750 0.084 1
```

Calculated values
**Fermi-level density of states**: 2.3 states/eV/f.u.
**Symmetry**: No. 129
**Formation energy**: 0.05 eV per atom